# BiAsCSe2

Crystalline BiAsCSe2 at its relaxed geometry (PBE, Alexandria).

Summary:
formation energy (no corrections)	2134.9	meV/atom
DOS at the Fermi energy	1.54	states/eV/atom

Lattice parameters (Å, degrees): 5.5902 5.5902 5.5569 90.00 90.00 90.00
Closest atoms and distances in Å follow each position.
Element x y z (fractional)
C 0.5000 0.5000 0.5000  8 Se 3.94, 4 As 3.95
Bi 0.0000 0.0000 0.0000  2 As 2.78, 4 Se 2.80
Se 0.5000 0.0000 0.0000  2 Bi 2.80
Se 0.0000 0.5000 0.0000  2 Bi 2.80
As 0.0000 0.0000 0.5000  2 Bi 2.78

***

# BiAs2CSe

Crystalline BiAs2CSe at its relaxed geometry (PBE, Alexandria).

Summary:
formation energy (no corrections)	2278.3	meV/atom
DOS at the Fermi energy	1.31	states/eV/atom

Lattice parameters (Å, degrees): 5.5757 5.5757 5.4942 90.00 90.00 90.00
Closest atoms and distances in Å follow each position.
Element x y z (fractional)
Bi 0.0000 0.0000 0.0000  2 Se 2.75, 4 As 2.79
Se 0.0000 0.0000 0.5000  2 Bi 2.75
As 0.5000 0.0000 0.0000  2 Bi 2.79
As 0.0000 0.5000 0.0000  2 Bi 2.79
C 0.5000 0.5000 0.5000  8 As 3.91, 4 Se 3.94

***

Looking at ρ for the records above, in order, we have 4.34, 4.37 Mg/m³.